[1]
Entry from Alexandria via LeMat-Bulk: an optimized crystal structure of Pr2GaNi6 (GGA-PBE).

Results
Energy of formation from the pure elements in eV per atom: -0.30
Space-group type: C2/m, No. 12
Total magnetic moment in μB per formula unit: 0.0
Electronic total energy in eV per atom: -5.5523

abc: 5.714 5.356 5.356
angles: 59.96 89.94 89.94
Sites, in units of the cell vectors:
1 Ni 0.332 0.828 0.828
2 Ni 0.669 0.657 0.172
3 Ni 0.668 0.172 0.172
4 Ni 0.331 0.343 0.828
5 Ni 0.331 0.828 0.343
6 Ni 0.669 0.172 0.657
7 Ga 0.000 0.000 0.000
8 Pr 0.181 0.333 0.333
9 Pr 0.819 0.667 0.667

[2]
Entry from Alexandria via LeMat-Bulk: an optimized crystal structure of Pr2GaNi (GGA-PBE).

Results
Energy of formation from the pure elements in eV per atom: 0.10
Space-group type: R-3m, No. 166
Total magnetic moment in μB per formula unit: 0.0
Electronic total energy in eV per atom: -4.4899

abc: 3.851 3.851 9.921
angles: 78.81 78.81 60.00
Sites, in units of the cell vectors:
1 Ga 0.000 0.000 0.000
2 Pr 0.109 0.109 0.674
3 Pr 0.891 0.891 0.326
4 Ni 0.500 0.500 0.500

[3]
Entry from Alexandria via LeMat-Bulk: an optimized crystal structure of PrGa6Ni12 (GGA-PBE).

Results
Energy of formation from the pure elements in eV per atom: -0.23
Space-group type: R-3m, No. 166
Total magnetic moment in μB per formula unit: 0.0
Electronic total energy in eV per atom: -5.0882

abc: 6.693 6.693 6.693
angles: 104.89 104.89 104.89
Sites, in units of the cell vectors:
1 Ni 0.151 0.400 0.400
2 Ni 0.600 0.600 0.849
3 Ni 0.886 0.114 0.500
4 Ni 0.500 0.114 0.886
5 Ni 0.400 0.400 0.151
6 Ni 0.886 0.500 0.114
7 Ni 0.600 0.849 0.600
8 Ni 0.114 0.886 0.500
9 Ni 0.114 0.500 0.886
10 Ni 0.500 0.886 0.114
11 Ni 0.849 0.600 0.600
12 Ni 0.400 0.151 0.400
13 Ga 0.729 0.290 0.729
14 Ga 0.290 0.729 0.729
15 Ga 0.271 0.271 0.710
16 Ga 0.271 0.710 0.271
17 Ga 0.710 0.271 0.271
18 Ga 0.729 0.729 0.290
19 Pr 0.000 0.000 0.000

[4]
Entry from Alexandria via LeMat-Bulk: an optimized crystal structure of Pr12GaNi6 (GGA-PBE).

Results
Energy of formation from the pure elements in eV per atom: -0.24
Space-group type: Im-3, No. 204
Total magnetic moment in μB per formula unit: 0.0
Electronic total energy in eV per atom: -5.2460

abc: 8.737 8.737 8.737
angles: 109.47 109.47 109.47
Sites, in units of the cell vectors:
1 Ni 0.878 0.378 0.500
2 Ni 0.500 0.878 0.378
3 Ni 0.122 0.622 0.500
4 Ni 0.378 0.500 0.878
5 Ni 0.622 0.500 0.122
6 Ni 0.500 0.122 0.622
7 Pr 0.185 0.305 0.490
8 Pr 0.510 0.815 0.695
9 Pr 0.120 0.815 0.305
10 Pr 0.305 0.490 0.185
11 Pr 0.490 0.185 0.305
12 Pr 0.305 0.120 0.815
13 Pr 0.815 0.305 0.120
14 Pr 0.185 0.695 0.880
15 Pr 0.695 0.880 0.185
16 Pr 0.880 0.185 0.695
17 Pr 0.815 0.695 0.510
18 Pr 0.695 0.510 0.815
19 Ga 0.000 0.000 0.000

[5]
Entry from Alexandria via LeMat-Bulk: an optimized crystal structure of Pr4GaNi (GGA-PBE).

Results
Energy of formation from the pure elements in eV per atom: -0.16
Space-group type: Cmc2_1, No. 36
Total magnetic moment in μB per formula unit: 0.0
Electronic total energy in eV per atom: -4.8096

abc: 5.227 6.620 10.816
angles: 90.00 103.98 90.00
Sites, in units of the cell vectors:
1 Pr 0.451 0.823 0.901
2 Pr 0.304 0.069 0.608
3 Pr 0.305 0.576 0.610
4 Pr 0.549 0.323 0.099
5 Pr 0.695 0.076 0.390
6 Pr 0.696 0.569 0.392
7 Pr 0.906 0.321 0.812
8 Pr 0.094 0.821 0.188
9 Ga 0.845 0.822 0.690
10 Ga 0.155 0.322 0.310
11 Ni 0.418 0.323 0.835
12 Ni 0.582 0.823 0.165

[6]
Entry from Alexandria via LeMat-Bulk: an optimized crystal structure of PrGa5Ni7 (GGA-PBE).

Results
Energy of formation from the pure elements in eV per atom: -0.30
Space-group type: Imm2, No. 44
Total magnetic moment in μB per formula unit: 0.0
Electronic total energy in eV per atom: -4.9491

abc: 5.098 6.493 6.493
angles: 83.53 66.88 66.88
Sites, in units of the cell vectors:
1 Ni 0.274 0.226 0.226
2 Ni 0.347 0.653 0.653
3 Ni 0.997 0.649 0.357
4 Ni 0.506 0.225 0.764
5 Ni 0.997 0.357 0.649
6 Ni 0.506 0.764 0.225
7 Ni 0.644 0.356 0.356
8 Ga 0.499 0.485 0.010
9 Ga 0.006 0.010 0.485
10 Ga 0.006 0.485 0.010
11 Ga 0.723 0.777 0.777
12 Ga 0.499 0.010 0.485
13 Pr 0.997 0.003 0.003

[7]
Entry from Alexandria via LeMat-Bulk: an optimized crystal structure of PrGa12Ni4 (GGA-PBE).

Results
Energy of formation from the pure elements in eV per atom: -0.17
Space-group type: Im-3, No. 204
Total magnetic moment in μB per formula unit: 0.0
Electronic total energy in eV per atom: -3.9439

abc: 7.443 7.443 7.443
angles: 109.47 109.47 109.47
Sites, in units of the cell vectors:
1 Ga 0.823 0.661 0.483
2 Ga 0.177 0.661 0.838
3 Ga 0.823 0.339 0.162
4 Ga 0.339 0.162 0.823
5 Ga 0.339 0.517 0.177
6 Ga 0.177 0.339 0.517
7 Ga 0.661 0.483 0.823
8 Ga 0.838 0.177 0.661
9 Ga 0.517 0.177 0.339
10 Ga 0.483 0.823 0.661
11 Ga 0.661 0.838 0.177
12 Ga 0.162 0.823 0.339
13 Ni 0.500 0.500 0.500
14 Ni 0.000 0.000 0.500
15 Ni 0.500 0.000 0.000
16 Ni 0.000 0.500 0.000
17 Pr 0.000 0.000 0.000

[8]
Entry from Alexandria via LeMat-Bulk: an optimized crystal structure of Pr3Ga8Ni3 (GGA-PBE).

Results
Energy of formation from the pure elements in eV per atom: -0.55
Space-group type: Immm, No. 71
Total magnetic moment in μB per formula unit: 0.0
Electronic total energy in eV per atom: -4.5405

abc: 4.286 8.166 8.166
angles: 74.12 74.79 74.79
Sites, in units of the cell vectors:
1 Pr 0.819 0.181 0.181
2 Pr 0.181 0.819 0.819
3 Pr 0.500 0.500 0.500
4 Ga 0.618 0.669 0.095
5 Ga 0.163 0.199 0.475
6 Ga 0.382 0.905 0.331
7 Ga 0.837 0.801 0.525
8 Ga 0.382 0.331 0.905
9 Ga 0.163 0.475 0.199
10 Ga 0.837 0.525 0.801
11 Ga 0.618 0.095 0.669
12 Ni 0.000 0.786 0.214
13 Ni 0.500 0.000 0.000
14 Ni 0.000 0.214 0.786

[9]
Entry from Alexandria via LeMat-Bulk: an optimized crystal structure of PrGa3Ni (GGA-PBE).

Results
Energy of formation from the pure elements in eV per atom: -0.53
Space-group type: C2, No. 5
Total magnetic moment in μB per formula unit: 0.0
Electronic total energy in eV per atom: -4.4608

abc: 4.174 4.174 6.102
angles: 110.19 110.19 90.06
Sites, in units of the cell vectors:
1 Ga 0.744 0.256 0.500
2 Ga 0.624 0.624 0.239
3 Ga 0.376 0.376 0.761
4 Pr 0.000 0.000 0.000
5 Ni 0.256 0.744 0.500

[10]
Entry from Alexandria via LeMat-Bulk: an optimized crystal structure of Pr2GaNi5 (GGA-PBE).

Results
Energy of formation from the pure elements in eV per atom: -0.25
Space-group type: I4mm, No. 107
Total magnetic moment in μB per formula unit: 0.0
Electronic total energy in eV per atom: -5.4368

abc: 5.914 5.914 5.914
angles: 87.50 121.45 121.45
Sites, in units of the cell vectors:
1 Ni 0.000 0.700 0.279
2 Ni 0.579 0.279 0.279
3 Ni 0.000 0.288 0.288
4 Ni 0.000 0.279 0.700
5 Ni 0.421 0.700 0.700
6 Ga 0.000 0.999 0.999
7 Pr 0.500 0.738 0.238
8 Pr 0.500 0.238 0.738

[11]
Entry from Alexandria via LeMat-Bulk: an optimized crystal structure of Pr2Ga3Ni5 (GGA-PBE).

Results
Energy of formation from the pure elements in eV per atom: -0.45
Space-group type: Ibam, No. 72
Total magnetic moment in μB per formula unit: 0.0
Electronic total energy in eV per atom: -5.2088

abc: 5.768 8.210 8.210
angles: 74.56 69.43 69.43
Sites, in units of the cell vectors:
1 Ga 0.862 0.742 0.534
2 Ga 0.638 0.466 0.258
3 Ga 0.138 0.258 0.466
4 Ga 0.362 0.534 0.742
5 Ga 0.250 0.000 0.000
6 Ga 0.750 0.000 0.000
7 Ni 0.030 0.220 0.220
8 Ni 0.250 0.500 0.500
9 Ni 0.614 0.732 0.039
10 Ni 0.386 0.268 0.961
11 Ni 0.470 0.780 0.780
12 Ni 0.114 0.039 0.732
13 Ni 0.886 0.961 0.268
14 Ni 0.530 0.220 0.220
15 Ni 0.970 0.780 0.780
16 Ni 0.750 0.500 0.500
17 Pr 0.873 0.391 0.864
18 Pr 0.373 0.864 0.391
19 Pr 0.127 0.609 0.136
20 Pr 0.627 0.136 0.609

[12]
Entry from Alexandria via LeMat-Bulk: an optimized crystal structure of PrGaNi5 (GGA-PBE).

Results
Energy of formation from the pure elements in eV per atom: -0.33
Space-group type: Pnma, No. 62
Total magnetic moment in μB per formula unit: 0.0
Electronic total energy in eV per atom: -5.5700

abc: 4.914 7.975 10.088
angles: 90.00 90.00 90.00
Sites, in units of the cell vectors:
1 Ni 0.496 0.065 0.694
2 Ni 0.750 0.057 0.902
3 Ni 0.250 0.685 0.252
4 Ni 0.004 0.065 0.694
5 Ni 0.250 0.443 0.402
6 Ni 0.996 0.935 0.306
7 Ni 0.250 0.943 0.098
8 Ni 0.750 0.315 0.748
9 Ni 0.750 0.905 0.517
10 Ni 0.004 0.565 0.806
11 Ni 0.504 0.935 0.306
12 Ni 0.250 0.185 0.248
13 Ni 0.750 0.405 0.983
14 Ni 0.750 0.557 0.598
15 Ni 0.504 0.435 0.194
16 Ni 0.250 0.095 0.483
17 Ni 0.496 0.565 0.806
18 Ni 0.250 0.595 0.017
19 Ni 0.750 0.815 0.752
20 Ni 0.996 0.435 0.194
21 Pr 0.750 0.256 0.442
22 Pr 0.750 0.756 0.058
23 Pr 0.250 0.744 0.558
24 Pr 0.250 0.244 0.942
25 Ga 0.750 0.646 0.358
26 Ga 0.250 0.854 0.858
27 Ga 0.250 0.354 0.642
28 Ga 0.750 0.146 0.142

Look up the energy of formation from the pure elements of the ninth one. -0.53 eV per atom

Which formula does entry 1 have? Pr2GaNi6